No. 1
Here is an optimized crystal structure of NbAlPt2 from Alexandria via LeMat-Bulk. Energies are from PBE.

Cell lengths 2.8015, 4.8067, 4.8067 Å; angles 90.00, 90.00, 90.00 degrees
Last column: nearest neighbours and their distance in Å.
Positions (direct):
Nb1 0.5000 0.5000 0.5000  8 Pt 2.78, 2 Nb 2.80
Pt1 0.0000 0.5000 0.0000  4 Nb 2.78, 4 Al 2.78, 2 Pt 2.80
Pt2 0.0000 0.0000 0.5000  4 Nb 2.78, 4 Al 2.78, 2 Pt 2.80
Al1 0.5000 0.0000 0.0000  8 Pt 2.78, 2 Al 2.80

energy = -28.51 eV per cell



No. 2
Here is an optimized crystal structure of ReAsSe2 from Alexandria via LeMat-Bulk. Energies are from PBE.

Cell lengths 4.5817, 4.5813, 4.5810 Å; angles 70.67, 70.25, 109.33 degrees
Last column: nearest neighbours and their distance in Å.
Positions (direct):
Se1 0.0000 0.0000 0.0000  2 Se 2.64, 2 Re 2.65, 2 As 2.65
Se2 0.5000 0.0000 0.5000  2 Se 2.64, 2 As 2.65, 2 Re 2.65
Re1 0.5000 0.5000 0.0000  2 As 2.64, 4 Se 2.65
As1 0.0000 0.5000 0.5000  2 Re 2.64, 4 Se 2.65

raw formation energy = 0.619 eV/atom



No. 3
Here is an optimized crystal structure of Mg3GeO from Alexandria via LeMat-Bulk. Energies are from PBE.

Cell lengths 4.2484, 4.2484, 4.2484 Å; angles 90.00, 90.00, 90.00 degrees
Last column: nearest neighbours and their distance in Å.
Positions (direct):
Mg1 0.5000 0.0000 0.0000  2 O 2.12
Ge1 0.5000 0.5000 0.5000  12 Mg 3.00
Mg2 0.0000 0.5000 0.0000  2 O 2.12
Mg3 0.0000 0.0000 0.5000  2 O 2.12
O1 0.0000 0.0000 0.0000  6 Mg 2.12

energy relative to the lowest polymorph listed for this composition = 0 meV per atom
raw formation energy = -1.076 eV/atom



No. 4
Here is an optimized crystal structure of MgSnRu from Alexandria via LeMat-Bulk. Energies are from PBE.

Cell lengths 9.0955, 8.7393, 5.9886 Å; angles 90.00, 90.00, 90.00 degrees
Last column: nearest neighbours and their distance in Å.
Positions (direct):
Mg1 0.5000 0.7980 0.5000  4 Ru 2.75
Sn1 0.6902 0.5000 0.5000  4 Ru 2.70
Ru1 0.7500 0.7500 0.7500  4 Sn 2.70, 4 Mg 2.75, 2 Ru 2.99
Mg2 0.0000 0.7020 0.5000  4 Ru 2.75
Mg3 0.0000 0.7980 0.0000  4 Ru 2.75
Ru2 0.2500 0.7500 0.7500  4 Sn 2.70, 4 Mg 2.75, 2 Ru 2.99
Sn2 0.3098 0.0000 0.0000  4 Ru 2.70
Sn3 0.6902 0.0000 0.0000  4 Ru 2.70
Sn4 0.8098 0.5000 0.0000  4 Ru 2.70
Sn5 0.8098 0.0000 0.5000  4 Ru 2.70
Mg4 0.5000 0.7020 0.0000  4 Ru 2.75
Mg5 0.5000 0.2020 0.5000  4 Ru 2.75
Ru3 0.2500 0.2500 0.2500  4 Sn 2.70, 4 Mg 2.75, 2 Ru 2.99
Mg6 0.0000 0.2980 0.5000  4 Ru 2.75
Sn6 0.3098 0.5000 0.5000  4 Ru 2.70
Ru4 0.7500 0.7500 0.2500  4 Sn 2.70, 4 Mg 2.75, 2 Ru 2.99
Ru5 0.2500 0.7500 0.2500  4 Sn 2.70, 4 Mg 2.75, 2 Ru 2.99
Ru6 0.7500 0.2500 0.2500  4 Sn 2.70, 4 Mg 2.75, 2 Ru 2.99
Mg7 0.0000 0.2020 0.0000  4 Ru 2.75
Ru7 0.7500 0.2500 0.7500  4 Sn 2.70, 4 Mg 2.75, 2 Ru 2.99
Sn7 0.1902 0.5000 0.0000  4 Ru 2.70
Ru8 0.2500 0.2500 0.7500  4 Sn 2.70, 4 Mg 2.75, 2 Ru 2.99
Sn8 0.1902 0.0000 0.5000  4 Ru 2.70
Mg8 0.5000 0.2980 0.0000  4 Ru 2.75

energy = -122.87 eV per cell